Entry 1:
VASP calculation (SCAN) on TlHgW2F at its PBEsol-relaxed geometry.

Values from the calculation:
Its formation energy (no corrections) is 1.14 eV per atom. The calculation puts the total magnetic moment at 0.66 Bohr magnetons per cell. The calculation puts the uncorrected energy at -277.72 eV per formula unit. The crystal system is tetragonal. Its symmetry is P4/mmm (123).

Cell lengths 4.1470, 4.1470, 5.1205 Å; angles 90.00, 90.00, 90.00 degrees
Site moments in Bohr magnetons follow the coordinates.
Element x y z (fractional)
1 F 0.0000 0.0000 0.0000  -0.01
2 W 0.0000 0.5000 0.0000  0.27
3 W 0.5000 0.0000 0.0000  0.27
4 Hg 0.0000 0.0000 0.5000  0.01
5 Tl 0.5000 0.5000 0.5000  -0.01

Entry 2:
VASP calculation (SCAN) on ZnHg2F at its PBEsol-relaxed geometry.

Values from the calculation:
Its formation energy (no corrections) is -0.46 eV per atom. The calculation puts the total magnetic moment at 0.00 Bohr magnetons per cell. The calculation puts the uncorrected energy at -155.22 eV per formula unit. The crystal system is cubic. Its symmetry is Fm-3m (225).

Cell lengths 4.6218, 4.6218, 4.6218 Å; angles 60.00, 60.00, 60.00 degrees
Element x y z (fractional)
1 Hg 0.7500 0.7500 0.7500
2 Hg 0.2500 0.2500 0.2500
3 F 0.0000 0.0000 0.0000
4 Zn 0.5000 0.5000 0.5000

Entry 3:
VASP calculation (SCAN) on Zr3HgF at its PBEsol-relaxed geometry.

Values from the calculation:
Its formation energy (no corrections) is 0.80 eV per atom. The calculation puts the total magnetic moment at 1.71 Bohr magnetons per cell. The calculation puts the uncorrected energy at -159.79 eV per formula unit. The crystal system is cubic. Its symmetry is Pm-3m (221).

Cell lengths 5.2508, 5.2508, 5.2508 Å; angles 90.00, 90.00, 90.00 degrees
Site moments in Bohr magnetons follow the coordinates.
Element x y z (fractional)
1 Zr 0.5000 0.0000 0.0000  0.35
2 Zr 0.0000 0.5000 0.0000  0.35
3 Zr 0.0000 0.0000 0.5000  0.35
4 Hg 0.0000 0.0000 0.0000  0.00
5 F 0.5000 0.5000 0.5000  0.01

Entry 4:
VASP calculation (SCAN) on ZrHgF3 at its PBEsol-relaxed geometry.

Values from the calculation:
Its formation energy (no corrections) is -2.70 eV per atom. The calculation puts the total magnetic moment at 1.00 Bohr magnetons per cell. The calculation puts the uncorrected energy at -122.97 eV per formula unit. The crystal system is cubic. Its symmetry is Pm-3m (221).

Cell lengths 4.2972, 4.2972, 4.2972 Å; angles 90.00, 90.00, 90.00 degrees
Site moments in Bohr magnetons follow the coordinates.
Element x y z (fractional)
1 Zr 0.5000 0.5000 0.5000  0.78
2 F 0.0000 0.5000 0.5000  0.00
3 F 0.5000 0.0000 0.5000  0.00
4 F 0.5000 0.5000 0.0000  0.00
5 Hg 0.0000 0.0000 0.0000  0.00

Entry 5:
VASP calculation (SCAN) on K3HoF6 at its PBEsol-relaxed geometry.

Values from the calculation:
Its formation energy (no corrections) is -3.47 eV per atom. The calculation puts the total magnetic moment at 0.25 Bohr magnetons per cell. The calculation puts the uncorrected energy at -129.94 eV per formula unit. The crystal system is cubic. Its symmetry is Fm-3m (225).

Cell lengths 6.5129, 6.5129, 6.5129 Å; angles 60.00, 60.00, 60.00 degrees
Element x y z (fractional)
1 F 0.7684 0.2316 0.7684
2 F 0.2316 0.7684 0.2316
3 F 0.2316 0.2316 0.7684
4 F 0.2316 0.7684 0.7684
5 F 0.7684 0.2316 0.2316
6 F 0.7684 0.7684 0.2316
7 K 0.7500 0.7500 0.7500
8 K 0.2500 0.2500 0.2500
9 K 0.5000 0.5000 0.5000
10 Ho 0.0000 0.0000 0.0000

Entry 6:
VASP calculation (SCAN) on KHo3F10 at its PBEsol-relaxed geometry.

Values from the calculation:
Its formation energy (no corrections) is -4.28 eV per atom. The calculation puts the total magnetic moment at 0.39 Bohr magnetons per cell. The calculation puts the uncorrected energy at -250.63 eV per formula unit. The crystal system is cubic. Its symmetry is Fm-3m (225).

Cell lengths 8.0686, 8.0686, 8.0686 Å; angles 60.00, 60.00, 60.00 degrees
Element x y z (fractional)
1 F 0.5000 0.8311 0.5000
2 F 0.5000 0.5000 0.1689
3 F 0.8311 0.5000 0.1689
4 F 0.1689 0.5000 0.5000
5 F 0.6639 0.1120 0.1120
6 F 0.8311 0.5000 0.5000
7 F 0.8880 0.3361 0.8880
8 F 0.5000 0.5000 0.8311
9 F 0.1120 0.1120 0.6639
10 F 0.1120 0.6639 0.1120
11 F 0.8311 0.1689 0.5000
12 F 0.1120 0.1120 0.1120
13 F 0.1689 0.8311 0.5000
14 F 0.5000 0.8311 0.1689
15 F 0.8880 0.8880 0.3361
16 F 0.5000 0.1689 0.8311
17 F 0.8880 0.8880 0.8880
18 F 0.1689 0.5000 0.8311
19 F 0.3361 0.8880 0.8880
20 F 0.5000 0.1689 0.5000
21 K 0.2500 0.2500 0.2500
22 K 0.7500 0.7500 0.7500
23 Ho 0.7601 0.7601 0.2399
24 Ho 0.2399 0.2399 0.7601
25 Ho 0.2399 0.7601 0.7601
26 Ho 0.2399 0.7601 0.2399
27 Ho 0.7601 0.2399 0.7601
28 Ho 0.7601 0.2399 0.2399

Entry 7:
VASP calculation (SCAN) on K3HoF6 at its PBEsol-relaxed geometry.

Values from the calculation:
Its formation energy (no corrections) is -3.55 eV per atom. The calculation puts the total magnetic moment at 0.59 Bohr magnetons per cell. The calculation puts the uncorrected energy at -130.73 eV per formula unit. The crystal system is monoclinic. Its symmetry is P2_1/c (14).

Cell lengths 6.2676, 6.5183, 8.9185 Å; angles 90.00, 88.81, 90.00 degrees
Element x y z (fractional)
1 F 0.6207 0.4365 0.2765
2 F 0.3283 0.7665 0.4224
3 F 0.7230 0.1794 0.9499
4 F 0.1717 0.2665 0.0776
5 F 0.2230 0.3206 0.4499
6 F 0.7770 0.6794 0.5501
7 F 0.6717 0.2335 0.5776
8 F 0.1207 0.0635 0.7765
9 F 0.2770 0.8206 0.0501
10 F 0.8793 0.9365 0.2235
11 F 0.8283 0.7335 0.9224
12 F 0.3793 0.5635 0.7235
13 K 0.5000 0.5000 0.0000
14 K 0.0000 0.0000 0.5000
15 K 0.4804 0.0538 0.2418
16 K 0.5196 0.9462 0.7582
17 K 0.0196 0.5538 0.2582
18 K 0.9804 0.4462 0.7418
19 Ho 0.0000 0.0000 0.0000
20 Ho 0.5000 0.5000 0.5000

Entry 8:
VASP calculation (SCAN) on NaLiHo2F8 at its PBEsol-relaxed geometry.

Values from the calculation:
Its formation energy (no corrections) is -4.00 eV per atom. The calculation puts the total magnetic moment at 0.00 Bohr magnetons per cell. The calculation puts the uncorrected energy at -180.89 eV per formula unit. The crystal system is orthorhombic. Its symmetry is Cmcm (63).

Cell lengths 6.6043, 6.6043, 6.9572 Å; angles 90.00, 90.00, 102.93 degrees
Element x y z (fractional)
1 F 0.9374 0.6620 0.9491
2 F 0.9114 0.9114 0.2500
3 F 0.6620 0.9374 0.5509
4 F 0.3380 0.0626 0.4491
5 F 0.3380 0.0626 0.0509
6 F 0.6088 0.6088 0.2500
7 F 0.6917 0.2539 0.2500
8 F 0.2539 0.6917 0.2500
9 F 0.0886 0.0886 0.7500
10 F 0.3912 0.3912 0.7500
11 F 0.6620 0.9374 0.9491
12 F 0.9374 0.6620 0.5509
13 F 0.0626 0.3380 0.4491
14 F 0.0626 0.3380 0.0509
15 F 0.7461 0.3083 0.7500
16 F 0.3083 0.7461 0.7500
17 Ho 0.9234 0.5491 0.2500
18 Ho 0.0766 0.4509 0.7500
19 Ho 0.5491 0.9234 0.2500
20 Ho 0.4509 0.0766 0.7500
21 Li 0.0000 0.0000 0.5000
22 Li 0.0000 0.0000 0.0000
23 Na 0.3414 0.3414 0.2500
24 Na 0.6586 0.6586 0.7500

Entry 9:
VASP calculation (SCAN) on HoMoO4F at its PBEsol-relaxed geometry.

Values from the calculation:
Its formation energy (no corrections) is -3.09 eV per atom. The calculation puts the total magnetic moment at 0.00 Bohr magnetons per cell. The calculation puts the uncorrected energy at -133.95 eV per formula unit. The crystal system is monoclinic. Its symmetry is P2_1/c (14).

Cell lengths 5.1632, 6.5350, 12.1916 Å; angles 90.00, 90.00, 112.56 degrees
Element x y z (fractional)
1 O 0.3365 0.3384 0.4310
2 O 0.2732 0.9636 0.5651
3 O 0.1432 0.9056 0.3474
4 O 0.7732 0.4636 0.9349
5 O 0.8568 0.0944 0.6526
6 O 0.2268 0.5364 0.0651
7 O 0.8365 0.8384 0.0690
8 O 0.0116 0.2057 0.2227
9 O 0.6432 0.4056 0.1526
10 O 0.9884 0.7943 0.7773
11 O 0.6635 0.6616 0.5690
12 O 0.7268 0.0364 0.4349
13 O 0.5116 0.7057 0.2773
14 O 0.3568 0.5944 0.8474
15 O 0.4884 0.2943 0.7227
16 O 0.1635 0.1616 0.9310
17 Ho 0.3396 0.7001 0.4490
18 Ho 0.6604 0.2999 0.5510
19 Ho 0.8396 0.2001 0.0510
20 Ho 0.1604 0.7999 0.9490
21 Mo 0.9500 0.8681 0.6427
22 Mo 0.4500 0.3681 0.8573
23 Mo 0.0500 0.1319 0.3573
24 Mo 0.5500 0.6319 0.1427
25 F 0.9213 0.4586 0.4008
26 F 0.5787 0.0414 0.9008
27 F 0.4213 0.9586 0.0992
28 F 0.0787 0.5414 0.5992

Entry 10:
VASP calculation (SCAN) on NaHoF4 at its PBEsol-relaxed geometry.

Values from the calculation:
Its formation energy (no corrections) is -3.96 eV per atom. The calculation puts the total magnetic moment at 0.00 Bohr magnetons per cell. The calculation puts the uncorrected energy at -91.15 eV per formula unit. The crystal system is tetragonal. Its symmetry is P4/mmm (123).

Cell lengths 3.7499, 3.7499, 5.4636 Å; angles 90.00, 90.00, 90.00 degrees
Element x y z (fractional)
1 F 0.5000 0.0000 0.2705
2 F 0.0000 0.5000 0.7295
3 F 0.5000 0.0000 0.7295
4 F 0.0000 0.5000 0.2705
5 Ho 0.5000 0.5000 0.5000
6 Na 0.0000 0.0000 0.0000